[1]
VASP calculation (PBE) on crystalline Dy2TeC at its relaxed geometry. Values from VASP.

The structure in Quantum ESPRESSO input format:
```
&SYSTEM
  ibrav = 0, nat = 4, ntyp = 3
/
ATOMIC_SPECIES
Dy 162.50 Dy.upf
Te 127.60 Te.upf
C 12.01 C.upf
CELL_PARAMETERS angstrom
-1.6619 -2.0812 2.7284
0.3464 -3.7970 -0.0212
5.4340 -1.4458 4.8711
ATOMIC_POSITIONS crystal
Dy 0.0616 0.0616 0.8151
Dy 0.2712 0.2712 0.1865
Te 0.4995 0.4995 0.5014
C 0.6676 0.6676 0.9970
```

## Properties
For the volume, the calculation gives 22.37 Å³/atom. Its energy relative to the elements, uncorrected is -829 meV/atom. The crystal system is trigonal. As for the symmetry: No. 160.

=====

[2]
VASP calculation (PBE) on crystalline TaCrNi2 at its relaxed geometry. Values from VASP.

The structure in Quantum ESPRESSO input format:
```
&SYSTEM
  ibrav = 0, nat = 4, ntyp = 3
/
ATOMIC_SPECIES
Cr 52.00 Cr.upf
Ni 58.69 Ni.upf
Ta 180.95 Ta.upf
CELL_PARAMETERS angstrom
-2.4952 1.7898 2.8645
-4.1184 0.3631 -0.7362
-2.7339 -2.3434 2.1609
ATOMIC_POSITIONS crystal
Cr 0.5000 0.5000 0.5000
Ni 0.0000 0.0000 0.0000
Ni 0.2500 0.2500 0.2500
Ta 0.7500 0.7500 0.7500
```

## Properties
For the volume, the calculation gives 13.09 Å³/atom. The polymorph energy (0 for the lowest one) comes out at 0.46 eV/f.u. The crystal system is cubic. The formation energy is 0.0160 eV/atom. As for the symmetry: No. 216.

=====

[3]
VASP calculation (PBE) on crystalline H4SBr at its relaxed geometry. Values from VASP.

The structure in Quantum ESPRESSO input format:
```
&SYSTEM
  ibrav = 0, nat = 12, ntyp = 3
/
ATOMIC_SPECIES
H 1.01 H.upf
S 32.06 S.upf
Br 79.90 Br.upf
CELL_PARAMETERS angstrom
-3.4422 -3.0310 3.4245
-7.2657 -5.2676 -2.2594
3.0028 -3.9405 -0.4694
ATOMIC_POSITIONS crystal
H 0.2316 0.5186 0.2589
H 0.1804 0.2489 0.5825
H 0.7684 0.9814 0.2589
H 0.8196 0.7511 0.4175
H 0.8196 0.2511 0.5825
H 0.2316 0.0186 0.7411
H 0.1804 0.7489 0.4175
H 0.7684 0.4814 0.7411
S 0.0000 0.2500 0.7666
S 0.0000 0.7500 0.2334
Br 0.5000 0.2500 0.2707
Br 0.5000 0.7500 0.7293
```

## Properties
For the volume, the calculation gives 17.10 Å³/atom. The polymorph energy (0 for the lowest one) comes out at 0.48 eV/f.u. The crystal system is monoclinic. As for the symmetry: No. 13.